# Sr2YPPd

Crystalline Sr2YPPd at its relaxed geometry (GGA-PBE, Alexandria via LeMat-Bulk).

## Properties
Total moment   0.39 Bohr magnetons per cell
ΔE_f   0.567 eV/atom
ρ   3.15 g/cm3
DFT total energy   -17.6 eV for the cell shown

a = 6.4903 Å, b = 6.4903 Å, c = 5.0307 Å
α = 90.00°, β = 90.00°, γ = 90.00°
Last column: nearest neighbours and their distance in Å.
Space group P4/mmm (No. 123)
Inequivalent atoms, fractional coordinates:
Sr 0.0000 0.5000 0.0000 [2 per cell]  2 Y 3.25
Y 0.0000 0.0000 0.0000 [1 per cell]  2 P 2.52
P 0.0000 0.0000 0.5000 [1 per cell]  2 Y 2.52
Pd 0.5000 0.5000 0.5000 [1 per cell]  8 Sr 4.11, 4 P 4.59

# TaP2Pd

Crystalline TaP2Pd at its relaxed geometry (GGA-PBE, Alexandria via LeMat-Bulk).

## Properties
Total moment   0.00 Bohr magnetons per cell
ΔE_f   -0.137 eV/atom
ρ   6.98 g/cm3
DFT total energy   -113.7 eV for the cell shown

a = 5.5811 Å, b = 5.5811 Å, c = 10.6723 Å
α = 90.00°, β = 90.00°, γ = 90.00°
Last column: nearest neighbours and their distance in Å.
Space group I-42d (No. 122)
Inequivalent atoms, fractional coordinates:
Ta 0.0000 0.0000 0.0000 [4 per cell]  4 P 2.40
P 0.2437 0.2500 0.6250 [8 per cell]  2 Pd 2.36, 2 Ta 2.40
Pd 0.0000 0.0000 0.5000 [4 per cell]  4 P 2.36

# TaP2Pd

Crystalline TaP2Pd at its relaxed geometry (GGA-PBE, Alexandria via LeMat-Bulk).

## Properties
Total moment   0.00 Bohr magnetons per cell
ΔE_f   -0.224 eV/atom
ρ   9.78 g/cm3
DFT total energy   -115.0 eV for the cell shown

a = 6.1897 Å, b = 6.1897 Å, c = 6.1897 Å
α = 90.00°, β = 90.00°, γ = 90.00°
Last column: nearest neighbours and their distance in Å.
Space group Fm-3m (No. 225)
Inequivalent atoms, fractional coordinates:
Ta 0.0000 0.0000 0.0000 [4 per cell]  8 P 2.68
P 0.2500 0.2500 0.2500 [8 per cell]  4 Ta 2.68, 4 Pd 2.68
Pd 0.0000 0.0000 0.5000 [4 per cell]  8 P 2.68

# TaPPd3

Crystalline TaPPd3 at its relaxed geometry (GGA-PBE, Alexandria via LeMat-Bulk).

## Properties
Total moment   1.79 Bohr magnetons per cell
ΔE_f   0.290 eV/atom
ρ   9.96 g/cm3
DFT total energy   -31.4 eV for the cell shown

a = 4.4568 Å, b = 4.4568 Å, c = 4.4568 Å
α = 90.00°, β = 90.00°, γ = 90.00°
Last column: nearest neighbours and their distance in Å.
Space group Pm-3m (No. 221)
Inequivalent atoms, fractional coordinates:
Ta 0.0000 0.0000 0.0000 [1 per cell]  12 Pd 3.15
P 0.5000 0.5000 0.5000 [1 per cell]  6 Pd 2.23
Pd 0.0000 0.5000 0.5000 [3 per cell]  2 P 2.23

# TaPPd2

Crystalline TaPPd2 at its relaxed geometry (GGA-PBE, Alexandria via LeMat-Bulk).

## Properties
Total moment   0.00 Bohr magnetons per cell
ΔE_f   -0.167 eV/atom
ρ   10.85 g/cm3
DFT total energy   -113.3 eV for the cell shown

a = 3.7202 Å, b = 3.7202 Å, c = 18.7837 Å
α = 90.00°, β = 90.00°, γ = 90.00°
Last column: nearest neighbours and their distance in Å.
Space group I-42d (No. 122)
Inequivalent atoms, fractional coordinates:
Ta 0.0000 0.0000 0.0000 [4 per cell]  4 P 2.63, 4 Pd 2.70
P 0.0000 0.0000 0.5000 [4 per cell]  4 Ta 2.63, 4 Pd 2.68
Pd 0.2437 0.2500 0.6250 [8 per cell]  4 Pd 2.60-2.66, 2 P 2.68, 2 Ta 2.70

# TaPPd3

Crystalline TaPPd3 at its relaxed geometry (GGA-PBE, Alexandria via LeMat-Bulk).

## Properties
Total moment   0.00 Bohr magnetons per cell
ΔE_f   1.193 eV/atom
ρ   7.86 g/cm3
DFT total energy   -26.9 eV for the cell shown

a = 4.8241 Å, b = 4.8241 Å, c = 4.8241 Å
α = 90.00°, β = 90.00°, γ = 90.00°
Last column: nearest neighbours and their distance in Å.
Space group Pm-3m (No. 221)
Inequivalent atoms, fractional coordinates:
Ta 0.0000 0.0000 0.0000 [1 per cell]  6 Pd 2.41
P 0.5000 0.5000 0.5000 [1 per cell]  12 Pd 3.41
Pd 0.0000 0.0000 0.5000 [3 per cell]  2 Ta 2.41

Which value of ρ does entry 1 give? 3.15 g/cm3